Entry 1:
A plane-wave DFT calculation with GGA-PBE was carried out for a relaxed TbPm2PrH crystal.

Cell lengths 5.132, 5.132, 5.108 Å; angles 90.00, 90.00, 90.00 degrees
Space group P4/mmm (No. 123)
Unique sites:
Tb1 0.000 0.000 0.000 [1 per cell]
Pm1 0.000 0.500 0.500 [2 per cell]
Pr1 0.500 0.500 0.000 [1 per cell]
H1 0.000 0.000 0.500 [1 per cell]

---

Entry 2:
A plane-wave DFT calculation with GGA-PBE was carried out for a relaxed TmPuSc crystal.

Properties
As for the polymorph energy (0 for the lowest one): 0.1562 eV/atom. The value obtained for the energy of formation from the pure elements is 76 kJ/mol of formula units.

Cell lengths 6.596, 6.484, 7.872 Å; angles 90.00, 103.93, 90.00 degrees
Space group C2/m (No. 12)
Unique sites:
Tm1 0.164 0.000 0.190 [4 per cell]
Pu1 0.151 0.500 0.174 [4 per cell]
Sc1 0.000 0.249 0.500 [4 per cell]

---

The following D(E_F) values (in states/eV/cell) correspond, in order, to the records above: 4.40; 36.81.
The following DFT total energy values (in Ry per atom) correspond, in order, to the records above: -0.340; -0.596.